No. 1
# MgZn2CuPd, optimized geometry, DFT GGA-PBE
data_MgZn2CuPd
_chemical_formula_sum 'Mg4 Zn8 Cu4 Pd4'
_symmetry_space_group_name_H-M 'C m c m'
_symmetry_Int_Tables_number 63
_symmetry_space_group_name_Hall '-C 2c 2'
_cell_length_a 5.1467
_cell_length_b 12.4001
_cell_length_c 5.1362
_cell_angle_alpha 90.00
_cell_angle_beta 90.00
_cell_angle_gamma 90.00
loop_
_atom_site_label
_atom_site_fract_x
_atom_site_fract_y
_atom_site_fract_z
Mg1 0.0000 0.2498 0.2500
Zn1 0.2492 0.0000 0.0000
Cu1 0.0000 0.1438 0.7500
Pd1 0.0000 0.3467 0.7500
# DOS(E_F) = 0.295 states/eV/atom
# formation enthalpy at 0 K = -0.22 eV/atom

No. 2
# SrTlIr2, optimized geometry, DFT GGA-PBE
data_SrTlIr2
_chemical_formula_sum 'Sr1 Tl1 Ir2'
_symmetry_space_group_name_H-M 'P 1 m 1'
_symmetry_Int_Tables_number 6
_cell_length_a 3.4403
_cell_length_b 3.7408
_cell_length_c 7.5418
_cell_angle_alpha 90.00
_cell_angle_beta 99.94
_cell_angle_gamma 90.00
loop_
_symmetry_equiv_pos_as_xyz
'x,y,z'
'x,-y,z'
loop_
_atom_site_label
_atom_site_fract_x
_atom_site_fract_y
_atom_site_fract_z
Sr1 0.0000 0.0000 0.0000
Tl1 0.6420 0.5000 0.3378
Ir1 0.0069 0.0000 0.6136
Ir2 0.4779 0.5000 0.6980
# polymorph energy (0 for the lowest one) = 119.5 meV/atom
# DOS(E_F) = 1.161 states/eV/atom
# formation enthalpy at 0 K = 0.19 eV/atom

No. 3
# LaTb3Er3, optimized geometry, DFT GGA-PBE
data_LaTb3Er3
_chemical_formula_sum 'La3 Tb9 Er9'
_symmetry_space_group_name_H-M 'R 3 m'
_symmetry_Int_Tables_number 160
_symmetry_space_group_name_Hall 'R 3 -2"'
_cell_length_a 9.8846
_cell_length_b 9.8846
_cell_length_c 8.1264
_cell_angle_alpha 90.00
_cell_angle_beta 90.00
_cell_angle_gamma 120.00
loop_
_atom_site_label
_atom_site_fract_x
_atom_site_fract_y
_atom_site_fract_z
La1 0.0000 0.0000 0.0000
Tb1 0.2143 0.4286 0.3733
Er1 0.1994 0.3988 0.9457
# polymorph energy (0 for the lowest one) = 66.6 meV/atom
# DOS(E_F) = 1.577 states/eV/atom
# formation enthalpy at 0 K = 0.25 eV/atom

No. 4
# La2HoEr, optimized geometry, DFT GGA-PBE
data_La2HoEr
_chemical_formula_sum 'La2 Ho1 Er1'
_symmetry_space_group_name_H-M 'P 4/m m m'
_symmetry_Int_Tables_number 123
_symmetry_space_group_name_Hall '-P 4 2'
_cell_length_a 5.2254
_cell_length_b 5.2254
_cell_length_c 4.9536
_cell_angle_alpha 90.00
_cell_angle_beta 90.00
_cell_angle_gamma 90.00
loop_
_atom_site_label
_atom_site_fract_x
_atom_site_fract_y
_atom_site_fract_z
La1 0.0000 0.5000 0.0000
Ho1 0.0000 0.0000 0.5000
Er1 0.5000 0.5000 0.5000
# polymorph energy (0 for the lowest one) = 8.1 meV/atom
# DOS(E_F) = 1.537 states/eV/atom
# formation enthalpy at 0 K = 0.02 eV/atom

No. 5
# Ba7Na12Pt, optimized geometry, DFT GGA-PBE
data_Ba7Na12Pt
_chemical_formula_sum 'Ba21 Na36 Pt3'
_symmetry_space_group_name_H-M 'R -3 m'
_symmetry_Int_Tables_number 166
_symmetry_space_group_name_Hall '-R 3 2"'
_cell_length_a 21.3111
_cell_length_b 21.3111
_cell_length_c 7.2502
_cell_angle_alpha 90.00
_cell_angle_beta 90.00
_cell_angle_gamma 120.00
loop_
_atom_site_label
_atom_site_fract_x
_atom_site_fract_y
_atom_site_fract_z
Ba1 0.0000 0.0000 0.0000
Ba2 0.0787 0.1574 0.3025
Na1 0.0000 0.3980 0.0000
Na2 0.0894 0.5447 0.4671
Pt1 0.0000 0.0000 0.5000
# DOS(E_F) = 0.980 states/eV/atom
# formation enthalpy at 0 K = 0.04 eV/atom

No. 6
# MnZn4Ir, optimized geometry, DFT GGA-PBE
data_MnZn4Ir
_chemical_formula_sum 'Mn4 Zn16 Ir4'
_symmetry_space_group_name_H-M 'F -4 3 m'
_symmetry_Int_Tables_number 216
_symmetry_space_group_name_Hall 'F -4 2 3'
_cell_length_a 6.9503
_cell_length_b 6.9503
_cell_length_c 6.9503
_cell_angle_alpha 90.00
_cell_angle_beta 90.00
_cell_angle_gamma 90.00
loop_
_atom_site_label
_atom_site_fract_x
_atom_site_fract_y
_atom_site_fract_z
Mn1 0.0000 0.0000 0.0000
Zn1 0.1249 0.1249 0.6249
Ir1 0.2500 0.2500 0.2500
# polymorph energy (0 for the lowest one) = 57.0 meV/atom
# DOS(E_F) = 0.299 states/eV/atom
# formation enthalpy at 0 K = -0.06 eV/atom

No. 7
# LaSc2Be, optimized geometry, DFT GGA-PBE
data_LaSc2Be
_chemical_formula_sum 'La2 Sc4 Be2'
_symmetry_space_group_name_H-M 'C m m m'
_symmetry_Int_Tables_number 65
_symmetry_space_group_name_Hall '-C 2 2'
_cell_length_a 7.1044
_cell_length_b 7.1146
_cell_length_c 3.5515
_cell_angle_alpha 90.00
_cell_angle_beta 90.00
_cell_angle_gamma 90.00
loop_
_atom_site_label
_atom_site_fract_x
_atom_site_fract_y
_atom_site_fract_z
La1 0.0000 0.0000 0.0000
Sc1 0.2500 0.2500 0.5000
Be1 0.0000 0.5000 0.0000
# DOS(E_F) = 1.470 states/eV/atom
# formation enthalpy at 0 K = 0.37 eV/atom

No. 8
# Tb2SnPd3, optimized geometry, DFT GGA-PBE
data_Tb2SnPd3
_chemical_formula_sum 'Tb8 Sn4 Pd12'
_symmetry_space_group_name_H-M 'C 1 2/c 1'
_symmetry_Int_Tables_number 15
_cell_length_a 11.4590
_cell_length_b 5.6324
_cell_length_c 8.6454
_cell_angle_alpha 90.00
_cell_angle_beta 112.28
_cell_angle_gamma 90.00
loop_
_symmetry_equiv_pos_as_xyz
'x,y,z'
'-x,-y,-z'
'-x,y,-z+1/2'
'x,-y,z+1/2'
'x+1/2,y+1/2,z'
'-x+1/2,-y+1/2,-z'
'-x+1/2,y+1/2,-z+1/2'
'x+1/2,-y+1/2,z+1/2'
loop_
_atom_site_label
_atom_site_fract_x
_atom_site_fract_y
_atom_site_fract_z
Tb1 0.1888 0.0014 0.0942
Sn1 0.0000 0.2900 0.2500
Pd1 0.0000 0.2018 0.7500
Pd2 0.1271 0.5000 0.0638
# DOS(E_F) = 0.407 states/eV/atom
# formation enthalpy at 0 K = -0.81 eV/atom

No. 9
# PtW2, optimized geometry, DFT GGA-PBE
data_PtW2
_chemical_formula_sum 'Pt4 W8'
_symmetry_space_group_name_H-M 'C m c m'
_symmetry_Int_Tables_number 63
_symmetry_space_group_name_Hall '-C 2c 2'
_cell_length_a 4.1299
_cell_length_b 11.9872
_cell_length_c 3.8432
_cell_angle_alpha 90.00
_cell_angle_beta 90.00
_cell_angle_gamma 90.00
loop_
_atom_site_label
_atom_site_fract_x
_atom_site_fract_y
_atom_site_fract_z
Pt1 0.0000 0.0822 0.2500
W1 0.0000 0.2542 0.7500
W2 0.0000 0.4192 0.2500
# polymorph energy (0 for the lowest one) = 34.5 meV/atom
# DOS(E_F) = 0.844 states/eV/atom
# formation enthalpy at 0 K = -0.04 eV/atom

No. 10
# CeScNi10, optimized geometry, DFT GGA-PBE
data_CeScNi10
_chemical_formula_sum 'Ce1 Sc1 Ni10'
_symmetry_space_group_name_H-M 'P m m m'
_symmetry_Int_Tables_number 47
_cell_length_a 3.9809
_cell_length_b 4.8152
_cell_length_c 8.3400
_cell_angle_alpha 90.00
_cell_angle_beta 90.00
_cell_angle_gamma 90.00
loop_
_symmetry_equiv_pos_as_xyz
'x,y,z'
'-x,-y,-z'
'-x,-y,z'
'x,y,-z'
'x,-y,-z'
'-x,y,z'
'-x,y,-z'
'x,-y,z'
loop_
_atom_site_label
_atom_site_fract_x
_atom_site_fract_y
_atom_site_fract_z
Ce1 0.0000 0.0000 0.0000
Sc1 0.0000 0.5000 0.5000
Ni1 0.0000 0.0000 0.3375
Ni2 0.0000 0.5000 0.1723
Ni3 0.5000 0.0000 0.5000
Ni4 0.5000 0.2523 0.2551
Ni5 0.5000 0.5000 0.0000
# DOS(E_F) = 1.055 states/eV/atom
# formation enthalpy at 0 K = -0.31 eV/atom

No. 11
# Mg2TcRh2, optimized geometry, DFT GGA-PBE
data_Mg2TcRh2
_chemical_formula_sum 'Mg4 Tc2 Rh4'
_symmetry_space_group_name_H-M 'P 4/m b m'
_symmetry_Int_Tables_number 127
_symmetry_space_group_name_Hall '-P 4 2ab'
_cell_length_a 7.2211
_cell_length_b 7.2211
_cell_length_c 2.9857
_cell_angle_alpha 90.00
_cell_angle_beta 90.00
_cell_angle_gamma 90.00
loop_
_atom_site_label
_atom_site_fract_x
_atom_site_fract_y
_atom_site_fract_z
Mg1 0.1594 0.3406 0.0000
Tc1 0.0000 0.0000 0.5000
Rh1 0.1397 0.6397 0.5000
# DOS(E_F) = 0.970 states/eV/atom
# formation enthalpy at 0 K = 0.08 eV/atom

No. 12
# K2TlIrCl, optimized geometry, DFT GGA-PBE
data_K2TlIrCl
_chemical_formula_sum 'K2 Tl1 Ir1 Cl1'
_symmetry_space_group_name_H-M 'P 4/m m m'
_symmetry_Int_Tables_number 123
_symmetry_space_group_name_Hall '-P 4 2'
_cell_length_a 5.6465
_cell_length_b 5.6465
_cell_length_c 5.9504
_cell_angle_alpha 90.00
_cell_angle_beta 90.00
_cell_angle_gamma 90.00
loop_
_atom_site_label
_atom_site_fract_x
_atom_site_fract_y
_atom_site_fract_z
K1 0.0000 0.5000 0.0000
Tl1 0.0000 0.0000 0.5000
Ir1 0.5000 0.5000 0.5000
Cl1 0.0000 0.0000 0.0000
# polymorph energy (0 for the lowest one) = 387.6 meV/atom
# DOS(E_F) = 0.327 states/eV/atom
# formation energy without anion corrections = 0.256 eV/atom